Entry from Alexandria: an optimized crystal structure of AcErCr2O8 (GGA+U). Values from VASP.

Geometry as Quantum ESPRESSO input:
```
&SYSTEM
  ibrav = 0, nat = 12, ntyp = 4
/
ATOMIC_SPECIES
Ac 227.00 Ac.upf
Er 167.26 Er.upf
Cr 52.00 Cr.upf
O 16.00 O.upf
CELL_PARAMETERS angstrom
5.6482 0.0000 0.0000
-2.8241 4.8915 0.0000
0.0000 0.0000 7.2622
ATOMIC_POSITIONS angstrom
Ac 0.0000 0.0000 0.0000
Er 0.0000 0.0000 3.6311
Cr 0.0000 3.2610 5.6962
Cr 2.8241 1.6305 1.5660
O 0.0000 1.6000 5.1788
O -1.4384 4.0915 5.1788
O 1.3857 0.8000 2.0834
O 0.0000 3.2610 0.1117
O 2.8241 1.6305 7.1505
O 1.4384 4.0915 5.1788
O 4.2625 0.8000 2.0834
O 2.8241 3.2915 2.0834
```

Magnetization = 2.000 μB/f.u.
Space group = P-3m1 (164)
E_tot = -7.509 eV per atom